YBi2Pd7: optimized geometry, GGA-PBE.

Unit cell a=4.223 b=8.126 c=8.126 alpha=125.12 beta=90.00 gamma=90.00
Element x y z (fractional)
Y: 0.000 0.000 0.000
Bi: 0.500 0.691 0.309
Bi: 0.500 0.309 0.691
Pd: 0.000 0.803 0.197
Pd: 0.000 0.197 0.803
Pd: 0.500 0.082 0.283
Pd: 0.500 0.918 0.717
Pd: 0.500 0.283 0.082
Pd: 0.500 0.717 0.918
Pd: 0.500 0.500 0.500

## Properties
**E above lowest polymorph**: 6.37 kcal/mol of atoms
**DFT formation energy**: -174 meV per atom
**Calculated total energy**: -5.231 eV/atom
**Mass density**: 9.1 Mg/m³